1.
Here is PmPr7Sm3 after structural relaxation from the Alexandria database. Energies are from PBE-GGA.

Output
Its energy above the most stable polymorph in this dataset is 4 meV per atom. As for the calculated formation energy: 214 meV per atom. For the theoretical density, the calculation gives 6.525 Mg/m³.

Lattice parameters (Å, degrees): 7.909 7.909 6.536 94.33 94.33 81.85
Sites, in units of the cell vectors:
Pm  0.000  0.000  0.000
Pr  0.000  0.000  0.500
Pr  0.075  0.424  0.761
Pr  0.264  0.264  0.286
Pr  0.424  0.075  0.761
Pr  0.576  0.925  0.239
Pr  0.736  0.736  0.714
Pr  0.925  0.576  0.239
Sm  0.330  0.670  0.500
Sm  0.500  0.500  0.000
Sm  0.670  0.330  0.500

2.
Here is Pm2INO after structural relaxation from the Alexandria database. Energies are from PBE-GGA.

Output
The value obtained for the energy relative to the elements, uncorrected is -2.14 eV per atom. For the theoretical density, the calculation gives 6.461 Mg/m³.

Lattice parameters (Å, degrees): 6.852 6.852 9.983 117.43 117.43 34.01
Sites, in units of the cell vectors:
Pm  0.023  0.023  0.281
Pm  0.351  0.351  0.956
Pm  0.649  0.649  0.044
Pm  0.977  0.977  0.719
I  0.332  0.332  0.377
I  0.668  0.668  0.623
N  0.460  0.460  0.823
N  0.540  0.540  0.177
O  0.153  0.153  0.931
O  0.847  0.847  0.069

3.
Here is CeHoHfZr after structural relaxation from the Alexandria database. Energies are from PBE-GGA.

Output
As for the calculated formation energy: 230 meV per atom. For the theoretical density, the calculation gives 9.281 Mg/m³.

Lattice parameters (Å, degrees): 5.259 5.259 5.259 60.00 60.00 60.00
Sites, in units of the cell vectors:
Ce  0.000  0.000  0.000
Ho  0.250  0.250  0.250
Hf  0.750  0.750  0.750
Zr  0.500  0.500  0.500